An optimized crystal structure of UInSb2. Source: the Alexandria database, functional PBE.

```
4
Lattice="4.011 0.000 0.000 0.000 4.011 0.000 0.000 0.000 6.561" Properties=species:S:1:pos:R:3 pbc="T T T"
U 0.000 0.000 0.000
In 0.000 0.000 3.281
Sb 2.005 2.005 1.532
Sb 2.005 2.005 5.029
```

Output
Excess energy over the best structure of this formula in the dataset, kJ per mole of atoms: 2.0
Space-group type: No. 123
DOS(E_F), states/eV/cell: 4.7
Density, Mg/m³: 9.38
Formation energy from raw total energies, eV per atom: -0.16